No. 1
This record from the Alexandria database describes a relaxed Ca2TbUSb4 crystal. The functional is PBE.

Calculated values
density of states at the Fermi level: 6.088 states/eV/cell

Cell: 7.6836 4.4780 7.7370 Å, 90.00 109.38 90.00°
Closest atoms and distances in Å follow each position.
Space group P2/m (No. 10)
One atom of each set of equivalent atoms:
Ca  0.0000  0.0000  0.0000  6 Sb 3.25-3.26
Ca  0.5000  0.5000  0.0000  6 Sb 3.19-3.20
Tb  0.0000  0.5000  0.5000  6 Sb 3.11-3.12
U  0.5000  0.0000  0.5000  6 Sb 3.04-3.07
Sb  0.2528  0.0000  0.7355  1 U 3.04, 2 Tb 3.12, 3 Ca 3.20-3.26
Sb  0.2610  0.5000  0.2668  2 U 3.07, 1 Tb 3.11, 3 Ca 3.19-3.25

---

No. 2
This record from the Alexandria database describes a relaxed Ba3Au5Br12 crystal. The functional is PBE.

Calculated values
density of states at the Fermi level: 110.451 states/eV/cell

Cell: 17.5631 17.5631 17.5631 Å, 90.00 90.00 90.00°
Closest atoms and distances in Å follow each position.
Space group Ia-3d (No. 230)
One atom of each set of equivalent atoms:
Ba  0.0000  0.2500  0.1250  8 Br 3.37-3.42
Au  0.0000  0.0000  0.0000  6 Br 2.85
Au  0.0000  0.2500  0.3750  4 Br 2.68
Br  0.0271  0.0584  0.6487  2 Au 2.68-2.85

---

Record-wise final energy values, in eV/atom: -5.335; -3.036
Record-wise total moment values, in μB per cell: 1.2; 0.0
Record-wise E_form (uncorrected) values, in eV per formula unit: -6.273; -18.491